Here is a relaxed InRePb2 crystal from the Alexandria database. Energies are from GGA-PBE.

Cell lengths 3.1838, 3.1838, 10.5328 Å; angles 90.00, 90.00, 111.74 degrees
Last column: nearest neighbours and their distance in Å.
Atoms (fractional coordinates):
In  0.5000  0.5000  0.7117  2 Re 2.76
Pb  0.0000  0.0000  0.9750  4 Pb 3.18, 2 In 3.30
Pb  0.5000  0.5000  0.3018  2 Re 2.84
Re  0.0000  0.0000  0.5116  2 In 2.76, 2 Pb 2.84

DOS(E_F) = 0.84 states/eV per atom
ΔE_f = 680 meV per atom
Energy above the most stable polymorph in this dataset = 0.164 eV per atom
Uncorrected energy = -19.88 eV per cell